A plane-wave DFT calculation with PBE+U was carried out for a relaxed structure of Li3Mn4O8.

total magnetization	15.0	μB/f.u.
density of states at the Fermi level	0.705	states/eV/cell
crystal system	monoclinic
relative energy among the computed polymorphs	2.5	kJ/mol of atoms

Cell lengths 5.8546, 5.8546, 10.8944 Å; angles 105.08, 105.08, 60.83 degrees
With the nearest neighbours (Å) after each atom.
Element x y z (fractional)
Li 0.0000 0.5000 0.5000  6 O 2.06-2.10, 2 Li 2.21
Li 0.0597 0.5698 0.7123  3 O 1.92-2.13
Li 0.4302 0.9403 0.7877  3 O 1.92-2.13
Li 0.5000 0.0000 0.0000  6 O 2.06-2.10, 2 Li 2.21
Li 0.5698 0.0597 0.2123  3 O 1.92-2.13
Li 0.9403 0.4302 0.2877  3 O 1.92-2.13
Mn 0.0000 0.0000 0.0000  6 O 1.97-2.17
Mn 0.0000 0.0000 0.5000  6 O 1.97-2.17
Mn 0.0000 0.5000 0.0000  6 O 1.94-1.98
Mn 0.2499 0.7501 0.2500  6 O 2.20-2.22
Mn 0.5000 0.0000 0.5000  6 O 1.94-1.98
Mn 0.5000 0.5000 0.0000  6 O 1.94-1.97
Mn 0.5000 0.5000 0.5000  6 O 1.94-1.97
Mn 0.7501 0.2499 0.7500  6 O 2.20-2.22
O 0.1130 0.1462 0.8963  2 Mn 1.96-1.97, 2 Li 2.10-2.13
O 0.1462 0.1130 0.3963  2 Mn 1.96-1.97, 2 Li 2.10-2.13
O 0.1457 0.6381 0.3976  2 Mn 1.96-1.99, 2 Li 2.06-2.07
O 0.1510 0.5985 0.8963  1 Li 1.92, 2 Mn 1.94
O 0.3568 0.3851 0.1043  2 Mn 1.97-1.98, 2 Li 2.10-2.16
O 0.3619 0.8543 0.1024  2 Mn 1.96-1.99, 2 Li 2.06-2.07
O 0.3851 0.3568 0.6043  2 Mn 1.97-1.98, 2 Li 2.10-2.16
O 0.4015 0.8490 0.6037  1 Li 1.92, 2 Mn 1.94
O 0.5985 0.1510 0.3963  1 Li 1.92, 2 Mn 1.94
O 0.6149 0.6432 0.3957  2 Mn 1.97-1.98, 2 Li 2.10-2.16
O 0.6381 0.1457 0.8976  2 Mn 1.96-1.99, 2 Li 2.06-2.07
O 0.6432 0.6149 0.8957  2 Mn 1.97-1.98, 2 Li 2.10-2.16
O 0.8490 0.4015 0.1037  1 Li 1.92, 2 Mn 1.94
O 0.8543 0.3619 0.6024  2 Mn 1.96-1.99, 2 Li 2.06-2.07
O 0.8538 0.8870 0.6037  2 Mn 1.96-1.97, 2 Li 2.10-2.13
O 0.8870 0.8538 0.1037  2 Mn 1.96-1.97, 2 Li 2.10-2.13